No. 1
The following is a DFT calculation (PBE-GGA) of a relaxed structure of LuSbIr2.

Lattice parameters (Å, degrees): 4.7140 4.7140 4.7140 60.00 60.00 60.00
Element x y z (fractional)
1 Lu 0.0000 0.0000 0.0000
2 Sb 0.7500 0.7500 0.7500
3 Ir 0.2500 0.2500 0.2500
4 Ir 0.5000 0.5000 0.5000

## Properties
**DFT total energy**: -26.6 eV for the cell shown
**Size of the total moment**: 0.0 μB/cell

***

No. 2
The following is a DFT calculation (PBE-GGA) of a relaxed structure of ErCuPbS3.

Lattice parameters (Å, degrees): 10.8728 4.0550 11.2928 90.00 90.00 90.00
Element x y z (fractional)
1 Er 0.0145 0.2500 0.1814
2 Er 0.4855 0.7500 0.6814
3 Er 0.5145 0.2500 0.3186
4 Er 0.9855 0.7500 0.8186
5 Cu 0.2459 0.7500 0.2964
6 Cu 0.2541 0.2500 0.7964
7 Cu 0.7459 0.7500 0.2036
8 Cu 0.7541 0.2500 0.7036
9 Pb 0.1815 0.2500 0.5048
10 Pb 0.3185 0.7500 0.0048
11 Pb 0.6815 0.2500 0.9952
12 Pb 0.8185 0.7500 0.4952
13 S 0.0403 0.7500 0.3505
14 S 0.0988 0.2500 0.9378
15 S 0.2277 0.7500 0.6931
16 S 0.2723 0.2500 0.1931
17 S 0.4012 0.7500 0.4378
18 S 0.4597 0.2500 0.8505
19 S 0.5403 0.7500 0.1495
20 S 0.5988 0.2500 0.5622
21 S 0.7277 0.7500 0.8069
22 S 0.7723 0.2500 0.3069
23 S 0.9012 0.7500 0.0622
24 S 0.9597 0.2500 0.6495

## Properties
**DFT total energy**: -123.1 eV for the cell shown
**Size of the total moment**: 0.0 μB/cell

***

No. 3
The following is a DFT calculation (PBE-GGA) of a relaxed structure of CsTbMo.

Lattice parameters (Å, degrees): 5.2415 5.2415 5.2415 60.00 60.00 60.00
Element x y z (fractional)
1 Cs 0.0000 0.0000 0.0000
2 Tb 0.5000 0.5000 0.5000
3 Mo 0.2500 0.2500 0.2500

## Properties
**DFT total energy**: -11.1 eV for the cell shown
**Size of the total moment**: 2.1 μB/cell